! GdFeO3 PBE+U relaxed; values from VASP
! space-group type: Pnma (62)
! calculated density: 7.3 g/cm3
! E_tot: -9.41 eV/atom
! spin magnetization: 12.0 μB per formula unit
&SYSTEM
  ibrav = 0, nat = 20, ntyp = 3
/
ATOMIC_SPECIES
Gd 157.25 Gd.upf
Fe 55.84 Fe.upf
O 16.00 O.upf
ATOMIC_POSITIONS angstrom
Gd 0.360 1.944 0.092
Gd 2.476 5.833 2.795
Gd 3.196 1.944 2.611
Gd 5.312 5.833 5.314
Fe 0.000 0.000 2.703
Fe 0.000 3.889 2.703
Fe 2.836 0.000 0.000
Fe 2.836 3.889 0.000
O 0.215 5.833 2.117
O 1.120 4.326 4.347
O 1.120 7.340 4.347
O 1.716 0.438 1.644
O 1.716 3.451 1.644
O 2.620 1.944 4.820
O 3.051 5.833 0.586
O 3.956 4.326 3.762
O 3.956 7.340 3.762
O 4.551 0.438 1.059
O 4.551 3.451 1.059
O 5.456 1.944 3.289
CELL_PARAMETERS angstrom
5.672 0.000 0.000
0.000 7.777 0.000
0.000 0.000 5.406